Entry 1:
# LiScPb3

An optimized crystal structure of LiScPb3 (PBE, the Alexandria database).

E   -3.721 eV/atom
SG   Pm-3m (221)
Relative energy among the computed polymorphs   0 meV/atom
E_form   0.153 eV per atom

abc: 5.119 5.119 5.119
angles: 90.00 90.00 90.00
Sites, in units of the cell vectors:
Li1 0.000 0.000 0.000
Sc1 0.500 0.500 0.500
Pb1 0.000 0.000 0.500
Pb2 0.000 0.500 0.000
Pb3 0.500 0.000 0.000


Entry 2:
# LiSc2Pb2

An optimized crystal structure of LiSc2Pb2 (PBE, the Alexandria database).

E   -4.632 eV/atom
SG   Ibam (72)
Relative energy among the computed polymorphs   72 meV/atom
E_form   -0.233 eV per atom

abc: 7.661 7.661 7.661
angles: 131.78 69.55 133.09
Sites, in units of the cell vectors:
Li1 0.250 0.250 0.000
Li2 0.750 0.750 0.000
Sc1 0.146 0.731 0.877
Sc2 0.354 0.231 0.586
Sc3 0.646 0.769 0.414
Sc4 0.854 0.269 0.123
Pb1 0.116 0.258 0.375
Pb2 0.384 0.758 0.142
Pb3 0.616 0.242 0.858
Pb4 0.884 0.742 0.625


Entry 3:
# LiScPb4

An optimized crystal structure of LiScPb4 (PBE, the Alexandria database).

E   -3.718 eV/atom
SG   F-43m (216)
E_form   0.129 eV per atom

abc: 6.397 6.397 6.397
angles: 60.00 60.00 60.00
Sites, in units of the cell vectors:
Li1 0.000 0.000 0.000
Sc1 0.250 0.250 0.250
Pb1 0.128 0.624 0.624
Pb2 0.624 0.128 0.624
Pb3 0.624 0.624 0.128
Pb4 0.624 0.624 0.624


Entry 4:
# Li2ScPb

An optimized crystal structure of Li2ScPb (PBE, the Alexandria database).

E   -3.644 eV/atom
SG   C2/m (12)
E_form   -0.177 eV per atom

abc: 5.324 5.324 5.209
angles: 97.78 97.78 36.52
Sites, in units of the cell vectors:
Li1 0.245 0.245 0.236
Li2 0.755 0.755 0.764
Sc1 0.000 0.000 0.500
Pb1 0.500 0.500 0.000


Entry 5:
# Li2ScPb5

An optimized crystal structure of Li2ScPb5 (PBE, the Alexandria database).

E   -3.762 eV/atom
SG   I4mm (107)
E_form   -0.174 eV per atom

abc: 6.483 6.483 6.483
angles: 110.75 110.75 106.95
Sites, in units of the cell vectors:
Li1 0.000 0.500 0.500
Li2 0.500 0.000 0.500
Sc1 0.499 0.499 0.000
Pb1 0.000 0.000 0.499
Pb2 0.000 0.500 0.000
Pb3 0.001 0.001 0.000
Pb4 0.500 0.000 0.000
Pb5 0.500 0.500 0.501


Entry 6:
# LiSc5Pb6

An optimized crystal structure of LiSc5Pb6 (PBE, the Alexandria database).

E   -4.964 eV/atom
SG   C2/m (12)
E_form   -0.312 eV per atom

abc: 8.793 8.793 4.685
angles: 105.33 105.33 57.98
Sites, in units of the cell vectors:
Li1 0.000 0.000 0.000
Sc1 0.159 0.159 0.659
Sc2 0.337 0.337 0.337
Sc3 0.500 0.500 0.000
Sc4 0.663 0.663 0.663
Sc5 0.841 0.841 0.341
Pb1 0.081 0.585 0.833
Pb2 0.246 0.754 0.500
Pb3 0.415 0.919 0.167
Pb4 0.585 0.081 0.833
Pb5 0.754 0.246 0.500
Pb6 0.919 0.415 0.167


Entry 7:
# LiSc2Pb2

An optimized crystal structure of LiSc2Pb2 (PBE, the Alexandria database).

E   -4.373 eV/atom
SG   I4/mmm (139)
Relative energy among the computed polymorphs   331 meV/atom
E_form   0.025 eV per atom

abc: 7.419 7.419 7.419
angles: 142.96 142.96 53.39
Sites, in units of the cell vectors:
Li1 0.000 0.000 0.000
Sc1 0.250 0.750 0.500
Sc2 0.750 0.250 0.500
Pb1 0.389 0.389 0.000
Pb2 0.611 0.611 0.000


Entry 8:
# LiScPb2

An optimized crystal structure of LiScPb2 (PBE, the Alexandria database).

E   -4.200 eV/atom
SG   Cm (8)
Relative energy among the computed polymorphs   35 meV/atom
E_form   -0.284 eV per atom

abc: 6.002 6.002 5.172
angles: 105.09 105.09 32.94
Sites, in units of the cell vectors:
Li1 0.000 0.000 0.000
Sc1 0.763 0.763 0.425
Pb1 0.251 0.251 0.919
Pb2 0.501 0.501 0.484


Entry 9:
# Li2ScPb

An optimized crystal structure of Li2ScPb (PBE, the Alexandria database).

E   -3.603 eV/atom
SG   P4mm (99)
E_form   -0.137 eV per atom

abc: 3.453 3.453 7.278
angles: 90.00 90.00 90.00
Sites, in units of the cell vectors:
Li1 0.000 0.000 0.000
Li2 0.500 0.500 0.204
Sc1 0.500 0.500 0.716
Pb1 0.000 0.000 0.435


Entry 10:
# LiScPb2

An optimized crystal structure of LiScPb2 (PBE, the Alexandria database).

E   -4.131 eV/atom
SG   R-3m (166)
Relative energy among the computed polymorphs   104 meV/atom
E_form   -0.215 eV per atom

abc: 9.993 9.993 9.993
angles: 19.74 19.74 19.74
Sites, in units of the cell vectors:
Li1 0.000 0.000 0.000
Sc1 0.500 0.500 0.500
Pb1 0.253 0.253 0.253
Pb2 0.747 0.747 0.747